# 1
A plane-wave DFT calculation with GGA-PBE was carried out for a relaxed structure of MgCoBr.

a b c (Å): 3.7567 3.7567 11.0984
angles (deg): 89.66 89.81 60.00
With the nearest neighbours (Å) after each atom.
Space group P-1 (No. 2)
Unique sites:
Mg 0.0005 0.4959 0.1750  3 Br 2.69, 6 Co 2.91-2.92
Co 0.3334 0.8332 0.9996  3 Co 2.17
Br 0.3329 0.8402 0.6817  3 Mg 2.69

Properties
Uncorrected formation energy in eV per formula unit: -1.428
Raw total energy in eV per formula unit: -11.80
Distance to the lowest polymorph of the same formula in eV/atom: 0.000

# 2
A plane-wave DFT calculation with GGA-PBE was carried out for a relaxed structure of TaHgBr2.

a b c (Å): 10.9563 3.2365 7.6204
angles (deg): 90.00 112.82 90.00
With the nearest neighbours (Å) after each atom.
Space group Cm (No. 8)
Unique sites:
Ta 0.0000 0.0000 0.0000  4 Br 2.63, 1 Hg 2.89
Hg 0.2634 0.0000 0.0001  3 Ta 2.89-3.06
Br 0.1013 0.5000 0.2932  2 Ta 2.63
Br 0.4434 0.0000 0.7068  2 Ta 2.63

Properties
Uncorrected formation energy in eV per formula unit: -0.722
Raw total energy in eV per formula unit: -16.22
Distance to the lowest polymorph of the same formula in eV/atom: 0.089

# 3
A plane-wave DFT calculation with GGA-PBE was carried out for a relaxed structure of Ac3PuTl3Se8.

a b c (Å): 8.9940 8.9940 23.1364
angles (deg): 90.00 90.00 120.00
With the nearest neighbours (Å) after each atom.
Space group R-3m (No. 166, hexagonal axes)
Unique sites:
Ac 0.0000 0.5000 0.0000  6 Se 3.10-3.13
Pu 0.0000 0.0000 0.0000  6 Se 2.87
Tl 0.0000 0.5000 0.5000  6 Se 3.38
Se 0.0000 0.0000 0.2602  3 Ac 3.10, 3 Tl 3.38
Se 0.0259 0.5129 0.7349  1 Pu 2.87, 2 Ac 3.13

Properties
Uncorrected formation energy in eV per formula unit: -20.677
Raw total energy in eV per formula unit: -82.31

# 4
A plane-wave DFT calculation with GGA-PBE was carried out for a relaxed structure of Al2TlCr.

a b c (Å): 7.6112 7.6112 5.4483
angles (deg): 90.00 90.00 90.00
With the nearest neighbours (Å) after each atom.
Space group I-42d (No. 122)
Unique sites:
Al 0.1935 0.2500 0.1250  2 Cr 2.50
Tl 0.0000 0.0000 0.5000  2 Cr 2.72
Cr 0.0000 0.0000 0.0000  4 Al 2.50, 2 Tl 2.72

Properties
Raw total energy in eV per formula unit: -16.60
Distance to the lowest polymorph of the same formula in eV/atom: 0.555

# 5
A plane-wave DFT calculation with GGA-PBE was carried out for a relaxed structure of CePm4Y.

a b c (Å): 9.4347 9.4347 9.4347
angles (deg): 90.00 90.00 90.00
With the nearest neighbours (Å) after each atom.
Space group F-43m (No. 216)
Unique sites:
Ce 0.0000 0.0000 0.0000  12 Pm 3.91, 4 Y 4.09
Pm 0.1245 0.1245 0.3755  6 Pm 3.32-3.35
Y 0.2500 0.2500 0.7500  12 Pm 3.91, 4 Ce 4.09

Properties
Raw total energy in eV per formula unit: -29.53
Distance to the lowest polymorph of the same formula in eV/atom: 0.100

# 6
A plane-wave DFT calculation with GGA-PBE was carried out for a relaxed structure of Li2ErOsO6.

a b c (Å): 5.3209 5.5152 9.4100
angles (deg): 90.00 124.27 90.00
With the nearest neighbours (Å) after each atom.
Space group P2_1/c (No. 14)
Unique sites:
Li 0.2339 0.0160 0.2442  3 O 2.01-2.06
Er 0.0000 0.0000 0.5000  6 O 2.21-2.25
Os 0.5000 0.0000 0.0000  6 O 1.89-1.92
O 0.1514 0.0563 0.7710  1 Os 1.92, 1 Li 2.01
O 0.2525 0.6566 0.5578  1 Os 1.89, 1 Li 2.05
O 0.4233 0.2002 0.5681  1 Os 1.90, 1 Li 2.06

Properties
Uncorrected formation energy in eV per formula unit: -19.348
Raw total energy in eV per formula unit: -68.72

# 7
A plane-wave DFT calculation with GGA-PBE was carried out for a relaxed structure of Mg2C.

a b c (Å): 3.5738 14.2654 3.6306
angles (deg): 90.00 90.00 90.00
With the nearest neighbours (Å) after each atom.
Space group Cmcm (No. 63)
Unique sites:
Mg 0.0000 0.0919 0.2500  4 C 2.69, 4 Mg 2.87-2.90
Mg 0.0000 0.2508 0.7500  4 C 2.28, 4 Mg 2.55
C 0.0000 0.3480 0.2500  4 Mg 2.28

Properties
Raw total energy in eV per formula unit: -9.90
Distance to the lowest polymorph of the same formula in eV/atom: 0.588

# 8
A plane-wave DFT calculation with GGA-PBE was carried out for a relaxed structure of AlAg6.

a b c (Å): 4.6368 4.6368 19.8404
angles (deg): 90.00 90.00 120.00
With the nearest neighbours (Å) after each atom.
Space group R-3m (No. 166, hexagonal axes)
Unique sites:
Al 0.0000 0.0000 0.0000  8 Ag 2.76-2.83
Ag 0.0000 0.0000 0.1390  1 Al 2.76, 7 Ag 2.81-2.95
Ag 0.0000 0.0000 0.2875  5 Ag 2.80-2.95, 3 Al 2.83
Ag 0.0000 0.0000 0.4287  8 Ag 2.80-2.85

Properties
Raw total energy in eV per formula unit: -20.78
Distance to the lowest polymorph of the same formula in eV/atom: 0.022

What is the formula in the seventh record? Mg2C